## Ac2AgIr (PBE)

Data for a relaxed structure of Ac2AgIr.

a b c (Å): 5.3978 5.3978 5.3978
angles (deg): 60.00 60.00 60.00
Last column: nearest neighbours and their distance in Å.
Fractional positions:
Ag 0.5000 0.5000 0.5000  8 Ac 3.31
Ir 0.0000 0.0000 0.0000  8 Ac 3.31
Ac 0.2500 0.2500 0.2500  4 Ir 3.31, 4 Ag 3.31
Ac 0.7500 0.7500 0.7500  4 Ir 3.31, 4 Ag 3.31

Calculated values
Spin magnetization ... 0.000 μB per atom
Energy relative to the elements ... -1.4 eV/f.u.
Electronic total energy ... -21.37 eV/cell
Crystal system ... cubic
Space group ... Fm-3m (225)
Relative energy among the computed polymorphs ... 126.1 meV/atom